The following is a GGA-PBE calculation of a relaxed RbBaTl2Br8 crystal, from Alexandria.

abc: 7.439 7.439 11.073
angles: 90.00 90.00 120.00
Element x y z (fractional)
Rb  0.000  0.000  0.000
Ba  0.000  0.000  0.500
Tl  0.333  0.667  0.769
Tl  0.667  0.333  0.231
Br  0.023  0.685  0.305
Br  0.315  0.338  0.305
Br  0.333  0.667  0.010
Br  0.338  0.023  0.695
Br  0.662  0.977  0.305
Br  0.667  0.333  0.990
Br  0.685  0.662  0.695
Br  0.977  0.315  0.695

Values from the calculation:
formation energy (no corrections) = -12.7 eV per formula unit